No. 1
## SrAc2Pt (PBE)

Data for a relaxed structure of SrAc2Pt.

Unit cell a=4.214 b=13.437 c=10.754 alpha=90.00 beta=90.00 gamma=90.00
Space group Cmcm (No. 63)
One atom of each set of equivalent atoms:
Sr: 0.000 0.089 0.250 (multiplicity 4)
Ac: 0.000 0.359 0.071 (multiplicity 8)
Pt: 0.000 0.222 0.750 (multiplicity 4)

Output
Formation enthalpy at 0 K = -0.542 eV per atom
Excess energy over the best structure of this formula in the dataset = 56.0 meV per atom

No. 2
## KAu2 (PBE)

Data for a relaxed structure of KAu2.

Unit cell a=12.166 b=2.871 c=9.232 alpha=90.00 beta=112.34 gamma=90.00
Space group C2/m (No. 12)
One atom of each set of equivalent atoms:
K: 0.000 0.000 0.250 (multiplicity 4)
Au: 0.204 0.500 0.102 (multiplicity 4)
Au: 0.204 0.500 0.602 (multiplicity 4)

Output
Formation enthalpy at 0 K = -0.157 eV per atom

No. 3
## Ti6Ni2Ir (PBE)

Data for a relaxed structure of Ti6Ni2Ir.

Unit cell a=7.974 b=8.289 c=8.411 alpha=90.00 beta=90.00 gamma=90.00
Space group Immm (No. 71)
One atom of each set of equivalent atoms:
Ti: 0.000 0.221 0.177 (multiplicity 8)
Ti: 0.188 0.217 0.500 (multiplicity 8)
Ti: 0.197 0.500 0.251 (multiplicity 8)
Ni: 0.000 0.000 0.360 (multiplicity 4)
Ni: 0.147 0.000 0.000 (multiplicity 4)
Ir: 0.000 0.500 0.000 (multiplicity 2)
Ir: 0.000 0.500 0.500 (multiplicity 2)

Output
Formation enthalpy at 0 K = -0.394 eV per atom

No. 4
## BaMg4Zn (PBE)

Data for a relaxed structure of BaMg4Zn.

Unit cell a=8.845 b=4.522 c=8.224 alpha=90.00 beta=90.00 gamma=90.00
Space group Pmma (No. 51)
One atom of each set of equivalent atoms:
Ba: 0.250 0.000 0.102 (multiplicity 2)
Mg: 0.000 0.000 0.500 (multiplicity 2)
Mg: 0.065 0.500 0.782 (multiplicity 4)
Mg: 0.250 0.500 0.454 (multiplicity 2)
Zn: 0.250 0.000 0.691 (multiplicity 2)

Output
Formation enthalpy at 0 K = -0.105 eV per atom
Excess energy over the best structure of this formula in the dataset = 0.0 meV per atom

No. 5
## La5Pr5Th2 (PBE)

Data for a relaxed structure of La5Pr5Th2.

Unit cell a=15.600 b=5.237 c=11.680 alpha=90.00 beta=116.47 gamma=90.00
Space group C2/m (No. 12)
One atom of each set of equivalent atoms:
La: 0.000 0.000 0.000 (multiplicity 2)
La: 0.077 0.000 0.751 (multiplicity 4)
La: 0.168 0.000 0.493 (multiplicity 4)
Pr: 0.000 0.500 0.500 (multiplicity 2)
Pr: 0.160 0.500 0.000 (multiplicity 4)
Pr: 0.244 0.000 0.249 (multiplicity 4)
Th: 0.082 0.500 0.250 (multiplicity 4)

Output
Formation enthalpy at 0 K = 0.037 eV per atom

No. 6
## AcCdGeAu (PBE)

Data for a relaxed structure of AcCdGeAu.

Unit cell a=7.389 b=7.389 c=7.389 alpha=90.00 beta=90.00 gamma=90.00
Space group F-43m (No. 216)
One atom of each set of equivalent atoms:
Ac: 0.000 0.000 0.000 (multiplicity 4)
Cd: 0.000 0.000 0.500 (multiplicity 4)
Ge: 0.250 0.250 0.250 (multiplicity 4)
Au: 0.250 0.250 0.750 (multiplicity 4)

Output
Formation enthalpy at 0 K = -0.475 eV per atom